Sr2CuO3: relaxed, GGA-PBEsol.

Cell and atoms, written as POSCAR:
```
Sr2CuO3
1.0
-1.745 1.955 6.256
1.745 -1.955 6.256
1.745 1.955 -6.256
Sr Cu O
2 1 3
Direct
0.147 0.147 0.000 Sr
0.853 0.853 0.000 Sr
0.500 0.500 0.000 Cu
0.000 0.500 0.500 O
0.345 0.345 0.000 O
0.655 0.655 0.000 O
```

Computed properties:
**DOS(E_F)**: 1.041 states/eV/f.u.
**Energy**: -36.5 eV for the cell shown
**Symmetry**: No. 71
**Formation energy from raw total energies**: -2.131 eV per atom


Nd4Zn3Au5: relaxed, GGA-PBEsol.

Cell and atoms, written as POSCAR:
```
Nd4Zn3Au5
1.0
7.018 0.000 0.000
0.000 4.580 0.000
-0.055 0.000 7.903
Nd Zn Au
4 3 5
Direct
0.000 0.000 0.000 Nd
0.008 0.500 0.573 Nd
0.500 0.000 0.079 Nd
0.515 0.500 0.495 Nd
0.199 0.500 0.206 Zn
0.311 0.000 0.706 Zn
0.688 0.500 0.864 Zn
0.227 0.000 0.375 Au
0.286 0.500 0.875 Au
0.712 0.000 0.715 Au
0.791 0.500 0.181 Au
0.798 0.000 0.374 Au
```

Computed properties:
**DOS(E_F)**: 6.697 states/eV/f.u.
**Formation enthalpy at 0 K**: -0.693 eV per atom
**Energy**: -53.3 eV for the cell shown
**Symmetry**: No. 6


Li2TlSb2: relaxed, GGA-PBEsol.

Cell and atoms, written as POSCAR:
```
Li2TlSb2
1.0
8.672 0.000 0.000
0.000 8.672 0.000
0.000 0.000 3.072
Li Tl Sb
4 2 4
Direct
0.128 0.372 0.000 Li
0.372 0.872 0.000 Li
0.628 0.128 0.000 Li
0.872 0.628 0.000 Li
0.000 0.000 0.500 Tl
0.500 0.500 0.500 Tl
0.165 0.665 0.500 Sb
0.335 0.165 0.500 Sb
0.665 0.835 0.500 Sb
0.835 0.335 0.500 Sb
```

Computed properties:
**DOS(E_F)**: 1.884 states/eV/f.u.
**Energy**: -34.4 eV for the cell shown
**Relative energy among the computed polymorphs**: 0.000 eV/atom
**Symmetry**: No. 127
**Formation energy from raw total energies**: -0.306 eV per atom


Please write out number 1 again, unchanged.
Sr2CuO3: relaxed, GGA-PBEsol.

Cell and atoms, written as POSCAR:
```
Sr2CuO3
1.0
-1.745 1.955 6.256
1.745 -1.955 6.256
1.745 1.955 -6.256
Sr Cu O
2 1 3
Direct
0.147 0.147 0.000 Sr
0.853 0.853 0.000 Sr
0.500 0.500 0.000 Cu
0.000 0.500 0.500 O
0.345 0.345 0.000 O
0.655 0.655 0.000 O
```

Computed properties:
**DOS(E_F)**: 1.041 states/eV/f.u.
**Energy**: -36.5 eV for the cell shown
**Symmetry**: No. 71
**Formation energy from raw total energies**: -2.131 eV per atom